# Dy2ThTc9 (PBE, optimized geometry)
# density of states at the Fermi level: 44.996 states/eV/cell
# spin magnetization: 0.00 μB per formula unit
data_Dy2ThTc9
_space_group_name_H-M_alt 'R -3 m'
_space_group_IT_number 166
_space_group_name_Hall '-R 3 2"'
_cell_length_a 5.3485
_cell_length_b 5.3485
_cell_length_c 26.5625
_cell_angle_alpha 90.00
_cell_angle_beta 90.00
_cell_angle_gamma 120.00
loop_
_atom_site_label
_atom_site_type_symbol
_atom_site_fract_x
_atom_site_fract_y
_atom_site_fract_z
Dy1 Dy 0.0000 0.0000 0.1435
Th1 Th 0.0000 0.0000 0.0000
Tc1 Tc 0.0000 0.0000 0.3379
Tc2 Tc 0.0000 0.0000 0.5000
Tc3 Tc 0.0097 0.5048 0.9159

=====

# NdScNiRu (PBE, optimized geometry)
# density of states at the Fermi level: 11.166 states/eV/cell
# spin magnetization: 0.00 μB per formula unit
data_NdScNiRu
_space_group_name_H-M_alt 'F -4 3 m'
_space_group_IT_number 216
_space_group_name_Hall 'F -4 2 3'
_cell_length_a 6.716
_cell_length_b 6.716
_cell_length_c 6.716
_cell_angle_alpha 90.00
_cell_angle_beta 90.00
_cell_angle_gamma 90.00
loop_
_atom_site_label
_atom_site_type_symbol
_atom_site_fract_x
_atom_site_fract_y
_atom_site_fract_z
Nd1 Nd 0.000 0.000 0.000
Sc1 Sc 0.000 0.000 0.500
Ni1 Ni 0.250 0.250 0.750
Ru1 Ru 0.250 0.250 0.250

=====

# GaAs3Pb (PBE, optimized geometry)
# excess energy over the best structure of this formula in the dataset: 0.556 eV/atom
# density of states at the Fermi level: 6.441 states/eV/cell
# spin magnetization: 0.00 μB per formula unit
data_GaAs3Pb
_space_group_name_H-M_alt 'P m -3 m'
_space_group_IT_number 221
_space_group_name_Hall '-P 4 2 3'
_cell_length_a 5.447
_cell_length_b 5.447
_cell_length_c 5.447
_cell_angle_alpha 90.00
_cell_angle_beta 90.00
_cell_angle_gamma 90.00
loop_
_atom_site_label
_atom_site_type_symbol
_atom_site_fract_x
_atom_site_fract_y
_atom_site_fract_z
Ga1 Ga 0.000 0.000 0.000
As1 As 0.000 0.500 0.500
Pb1 Pb 0.500 0.500 0.500

=====

# TmZn3Ni (PBE, optimized geometry)
# excess energy over the best structure of this formula in the dataset: 0.000 eV/atom
# density of states at the Fermi level: 11.552 states/eV/cell
# spin magnetization: 0.00 μB per formula unit
data_TmZn3Ni
_space_group_name_H-M_alt 'C m c m'
_space_group_IT_number 63
_space_group_name_Hall '-C 2c 2'
_cell_length_a 4.242
_cell_length_b 15.329
_cell_length_c 5.116
_cell_angle_alpha 90.00
_cell_angle_beta 90.00
_cell_angle_gamma 90.00
loop_
_atom_site_label
_atom_site_type_symbol
_atom_site_fract_x
_atom_site_fract_y
_atom_site_fract_z
Tm1 Tm 0.000 0.081 0.250
Zn1 Zn 0.000 0.297 0.501
Zn2 Zn 0.000 0.444 0.250
Ni1 Ni 0.000 0.148 0.750

=====

# NiOs3 (PBE, optimized geometry)
# density of states at the Fermi level: 7.833 states/eV/cell
# spin magnetization: 0.00 μB per formula unit
data_NiOs3
_space_group_name_H-M_alt 'P m m n'
_space_group_IT_number 59
_cell_length_a 4.279
_cell_length_b 5.380
_cell_length_c 4.714
_cell_angle_alpha 90.00
_cell_angle_beta 90.00
_cell_angle_gamma 90.00
loop_
_space_group_symop_operation_xyz
'x,y,z'
'-x,-y,-z'
'-x+1/2,-y+1/2,z'
'x+1/2,y+1/2,-z'
'x+1/2,-y,-z'
'-x+1/2,y,z'
'-x,y+1/2,-z'
'x,-y+1/2,z'
loop_
_atom_site_label
_atom_site_type_symbol
_atom_site_fract_x
_atom_site_fract_y
_atom_site_fract_z
Ni1 Ni 0.250 0.250 0.157
Os1 Os 0.250 0.507 0.669
Os2 Os 0.250 0.750 0.157

=====

# Sr2RhC2 (PBE, optimized geometry)
# density of states at the Fermi level: 9.238 states/eV/cell
# spin magnetization: 0.00 μB per formula unit
data_Sr2RhC2
_space_group_name_H-M_alt 'C 1 2/c 1'
_space_group_IT_number 15
_cell_length_a 11.118
_cell_length_b 5.975
_cell_length_c 6.196
_cell_angle_alpha 90.00
_cell_angle_beta 112.44
_cell_angle_gamma 90.00
loop_
_space_group_symop_operation_xyz
'x,y,z'
'-x,-y,-z'
'-x,y,-z+1/2'
'x,-y,z+1/2'
'x+1/2,y+1/2,z'
'-x+1/2,-y+1/2,-z'
'-x+1/2,y+1/2,-z+1/2'
'x+1/2,-y+1/2,z+1/2'
loop_
_atom_site_label
_atom_site_type_symbol
_atom_site_fract_x
_atom_site_fract_y
_atom_site_fract_z
Sr1 Sr 0.152 0.133 0.215
Rh1 Rh 0.000 0.435 0.750
C1 C 0.085 0.305 0.557

=====

# CdAg2Te (PBE, optimized geometry)
# excess energy over the best structure of this formula in the dataset: 0.125 eV/atom
# raw formation energy: 0.123 eV per atom
# density of states at the Fermi level: 6.607 states/eV/cell
# spin magnetization: 0.00 μB per formula unit
data_CdAg2Te
_space_group_name_H-M_alt 'R -3 m'
_space_group_IT_number 166
_space_group_name_Hall '-R 3 2"'
_cell_length_a 3.1688
_cell_length_b 3.1688
_cell_length_c 30.1115
_cell_angle_alpha 90.00
_cell_angle_beta 90.00
_cell_angle_gamma 120.00
loop_
_atom_site_label
_atom_site_type_symbol
_atom_site_fract_x
_atom_site_fract_y
_atom_site_fract_z
Cd1 Cd 0.0000 0.0000 0.0000
Ag1 Ag 0.0000 0.0000 0.2558
Te1 Te 0.0000 0.0000 0.5000

=====

# Sr2CrSi (PBE, optimized geometry)
# raw formation energy: 0.533 eV per atom
# density of states at the Fermi level: 4.327 states/eV/cell
# spin magnetization: 5.06 μB per formula unit
data_Sr2CrSi
_space_group_name_H-M_alt 'R -3 m'
_space_group_IT_number 166
_space_group_name_Hall '-R 3 2"'
_cell_length_a 4.2262
_cell_length_b 4.2262
_cell_length_c 27.3424
_cell_angle_alpha 90.00
_cell_angle_beta 90.00
_cell_angle_gamma 120.00
loop_
_atom_site_label
_atom_site_type_symbol
_atom_site_fract_x
_atom_site_fract_y
_atom_site_fract_z
Sr1 Sr 0.0000 0.0000 0.2385
Cr1 Cr 0.0000 0.0000 0.0000
Si1 Si 0.0000 0.0000 0.5000

=====

Raw total energy, respectively: -0.33849, -0.25133, -0.11489, -0.11470, -0.35875, -0.19795, -0.08516, -0.14955 Ha/atom.